GGA-PBE Tb2ErTm2Sc2, relaxed; energy relative to the elements = 0.107 eV/atom; total magnetization = 0.00 Bohr magnetons per cell; N(E_F) = 12.8 states/eV/cell
1.0
5.617 -1.698 0.000
5.617 1.698 0.000
-3.667 0.000 10.825
Tb Er Tm Sc
2 1 2 2
Cartesian
1.606 0.000 0.955
5.962 0.000 9.870
3.784 0.000 5.412
-2.283 0.000 8.316
9.851 0.000 2.509
0.735 0.000 6.856
6.833 0.000 3.969